# Sc3RuPt (PBE-GGA, optimized geometry)
data_Sc3RuPt
_chemical_formula_sum 'Sc3 Ru1 Pt1'
_cell_length_a 4.9482
_cell_length_b 4.9482
_cell_length_c 4.9482
_cell_angle_alpha 90.00
_cell_angle_beta 90.00
_cell_angle_gamma 90.00
_space_group_name_H-M_alt 'P m -3 m'
_space_group_IT_number 221
_space_group_name_Hall '-P 4 2 3'
loop_
_atom_site_label
_atom_site_type_symbol
_atom_site_fract_x
_atom_site_fract_y
_atom_site_fract_z
Sc1 Sc 0.0000 0.0000 0.5000
Ru1 Ru 0.5000 0.5000 0.5000
Pt1 Pt 0.0000 0.0000 0.0000
# - E above lowest polymorph: 279 meV per atom
# - Calculated formation energy: 14 kJ/mol of atoms
# - Raw total energy: -6.71 eV per atom

---

# Mn2AgP (PBE-GGA, optimized geometry)
data_Mn2AgP
_chemical_formula_sum 'Mn4 Ag2 P2'
_cell_length_a 3.9957
_cell_length_b 3.9957
_cell_length_c 7.3543
_cell_angle_alpha 90.00
_cell_angle_beta 90.00
_cell_angle_gamma 90.00
_space_group_name_H-M_alt 'I 4/m m m'
_space_group_IT_number 139
_space_group_name_Hall '-I 4 2'
loop_
_atom_site_label
_atom_site_type_symbol
_atom_site_fract_x
_atom_site_fract_y
_atom_site_fract_z
Mn1 Mn 0.0000 0.5000 0.2500
Ag1 Ag 0.0000 0.0000 0.0000
P1 P 0.0000 0.0000 0.5000
# - Calculated formation energy: 23 kJ/mol of atoms
# - Raw total energy: -6.41 eV per atom

---

# Er3ScS4 (PBE-GGA, optimized geometry)
data_Er3ScS4
_chemical_formula_sum 'Er6 Sc2 S8'
_cell_length_a 7.7010
_cell_length_b 10.8240
_cell_length_c 3.7974
_cell_angle_alpha 90.00
_cell_angle_beta 90.00
_cell_angle_gamma 90.00
_space_group_name_H-M_alt 'C m m m'
_space_group_IT_number 65
_space_group_name_Hall '-C 2 2'
loop_
_atom_site_label
_atom_site_type_symbol
_atom_site_fract_x
_atom_site_fract_y
_atom_site_fract_z
Er1 Er 0.0000 0.0000 0.0000
Er2 Er 0.2500 0.2500 0.5000
Sc1 Sc 0.0000 0.5000 0.0000
S1 S 0.0000 0.2540 0.0000
S2 S 0.2421 0.5000 0.5000
# - Formation energy from raw total energies: -1.924 eV per atom
# - Raw total energy: -6.49 eV per atom

---

# Y2ThZn2Ga2 (PBE-GGA, optimized geometry)
data_Y2ThZn2Ga2
_chemical_formula_sum 'Y6 Th3 Zn6 Ga6'
_cell_length_a 4.3911
_cell_length_b 4.3911
_cell_length_c 29.2625
_cell_angle_alpha 90.00
_cell_angle_beta 90.00
_cell_angle_gamma 120.00
_space_group_name_H-M_alt 'R -3 m'
_space_group_IT_number 166
_space_group_name_Hall '-R 3 2"'
loop_
_atom_site_label
_atom_site_type_symbol
_atom_site_fract_x
_atom_site_fract_y
_atom_site_fract_z
Y1 Y 0.0000 0.0000 0.1273
Th1 Th 0.0000 0.0000 0.0000
Zn1 Zn 0.0000 0.0000 0.3983
Ga1 Ga 0.0000 0.0000 0.2597
# - Calculated formation energy: -37 kJ/mol of atoms
# - Raw total energy: -4.51 eV per atom

---

Look up the raw total energy of the third one.
-6.49 eV per atom

---

Look up the raw total energy of the fourth one.
-4.51 eV per atom